# 1
# Tm2Ge3Os

An optimized crystal structure of Tm2Ge3Os (PBE-GGA, Alexandria via LeMat-Bulk).

Its total energy is -5.91 eV/atom. The value obtained for the mass density is 10.0 g cm⁻³. The volume comes out at 20.57 A^3/atom. The formation energy comes out at -1.46 eV/f.u.

It has space group Immm (No. 71), with a = 4.363 Å, b = 5.584 Å, c = 10.130 Å, α = 90.00°, β = 90.00° and γ = 90.00°. The distinct sites, in fractional coordinates, are Tm at (0.000, 0.000, 0.185), Ge at (0.000, 0.500, 0.131), Ge at (0.000, 0.500, 0.500) and Os at (0.000, 0.000, 0.500).

=====

# 2
# Ac3AlSb2Pd9

An optimized crystal structure of Ac3AlSb2Pd9 (PBE-GGA, Alexandria via LeMat-Bulk).

The value obtained for the formation energy (no corrections) is -0.627 eV/atom. Its total energy is -5.36 eV/atom. The value obtained for the mass density is 8.7 g cm⁻³. The volume comes out at 24.35 A^3/atom.

It has space group P-3m1 (No. 164), with a = 6.8626 Å, b = 6.8626 Å, c = 8.9567 Å, α = 90.00°, β = 90.00° and γ = 120.00°. The distinct sites, in fractional coordinates, are Ac at (0.0000, 0.0000, 0.0000), Ac at (0.3333, 0.6667, 0.6959), Al at (0.0000, 0.0000, 0.5000), Sb at (0.3333, 0.6667, 0.1966), Pd at (0.0000, 0.5000, 0.0000) and Pd at (0.1338, 0.2677, 0.2916).

=====

# 3
# CePmSm2N4

An optimized crystal structure of CePmSm2N4 (PBE-GGA, Alexandria via LeMat-Bulk).

The value obtained for the formation energy (no corrections) is -1.493 eV/atom. Its total energy is -8.17 eV/atom. The value obtained for the mass density is 8.2 g cm⁻³. The volume comes out at 16.27 A^3/atom.

It has space group P2/m (No. 10), with a = 6.198 Å, b = 3.590 Å, c = 6.201 Å, α = 90.00°, β = 109.34° and γ = 90.00°. The distinct sites, in fractional coordinates, are Ce at (0.000, 0.000, 0.000), Pm at (0.000, 0.500, 0.500), Sm at (0.500, 0.000, 0.500), Sm at (0.500, 0.500, 0.000), N at (0.243, 0.500, 0.242) and N at (0.246, 0.000, 0.757).

=====

# 4
# Rb2NaCdHg

An optimized crystal structure of Rb2NaCdHg (PBE-GGA, Alexandria via LeMat-Bulk).

Its total energy is -0.87 eV/atom. The value obtained for the mass density is 3.1 g cm⁻³. The volume comes out at 53.89 A^3/atom. The formation energy comes out at 0.12 eV/f.u.

It has space group P4/mmm (No. 123), with a = 6.996 Å, b = 6.996 Å, c = 5.505 Å, α = 90.00°, β = 90.00° and γ = 90.00°. The distinct sites, in fractional coordinates, are Rb at (0.000, 0.500, 0.000), Na at (0.000, 0.000, 0.500), Cd at (0.500, 0.500, 0.500) and Hg at (0.500, 0.500, 0.000).